MgPt: relaxed, GGA-PBE.

The energy of formation from the pure elements is -74 kJ per mole of atoms. Its density of states at the Fermi level is 0.7 states/eV/f.u. For the total energy, the calculation gives -4.580 eV per atom.

It has space group C2/m (No. 12), with a = 9.831 Å, b = 2.928 Å, c = 4.688 Å, α = 90.00°, β = 103.85° and γ = 90.00°. The asymmetric unit holds Mg at (0.108, 0.000, 0.311) and Pt at (0.134, 0.500, 0.818).